The following is a PBE calculation of crystalline MnZnP2 at its relaxed geometry, from the Alexandria database.

Summary:
Spin magnetization   2.72 μB/f.u.
Mass density   4.87 g/cm³
Energy of formation from the pure elements   0.2099 eV/atom

a b c (Å): 2.633 2.633 9.080
angles (deg): 90.00 90.00 98.65
Site moments in Bohr magnetons follow the coordinates.
Element x y z (fractional)
Mn1 0.500 0.500 0.744  2.60
P1 0.000 0.000 0.927  -0.05
P2 0.500 0.500 0.304  0.05
Zn1 0.000 0.000 0.526  -0.01